DFT (PBE-GGA) results for a relaxed structure of HfTi4Pb2.

The formation energy from the elements comes out at 0.15 eV per atom. The energy relative to the lowest polymorph listed for this composition is 0 meV per atom.

a = 7.3544 Å, b = 5.7995 Å, c = 7.6147 Å
α = 90.00°, β = 117.44°, γ = 90.00°
Last column: nearest neighbours and their distance in Å.
Space group P2_1/m (No. 11)
Unique sites:
1 Hf 0.0848 0.2500 0.3485 x2  2 Ti 2.79-2.98, 4 Pb 2.86-2.91
2 Ti 0.2340 0.7500 0.0743 x2  3 Ti 2.82-3.05, 3 Pb 2.91-2.99, 1 Hf 2.98
3 Ti 0.3539 0.0064 0.7766 x4  6 Ti 2.83-3.16, 3 Pb 2.92-3.15
4 Ti 0.4881 0.7500 0.4864 x2  2 Pb 2.75-2.97, 1 Hf 2.79, 5 Ti 2.82-3.08
5 Pb 0.0741 0.7500 0.3716 x2  2 Ti 2.75-2.99, 3 Hf 2.86-2.91
6 Pb 0.2620 0.2500 0.0766 x2  7 Ti 2.91-3.02, 1 Hf 2.91, 1 Pb 3.16